Compound: MnZn2AgF8
Source: Alexandria via LeMat-Bulk
Functional: PBE with a Hubbard U
Structure: optimized geometry

## Properties
- DOS at the Fermi energy: 0.31 states/eV per atom
- Total DFT energy (no corrections): -52.11 eV per cell

a b c (Å): 6.0645 6.0645 6.0645
angles (deg): 109.90 109.90 108.62
With the nearest neighbours (Å) after each atom.
Element x y z (fractional)
Mn1 0.0000 0.0000 0.0000  4 F 2.09
Zn1 0.2500 0.7500 0.5000  4 F 1.93
Zn2 0.5000 0.5000 0.0000  4 F 1.93
Ag1 0.7500 0.2500 0.5000  4 F 2.21
F1 0.0709 0.3617 0.2908  1 Zn 1.93, 1 Mn 2.09
F2 0.0709 0.7800 0.7092  1 Zn 1.93, 1 Mn 2.09
F3 0.1121 0.2986 0.8135  1 Zn 1.93
F4 0.2200 0.9291 0.2908  1 Zn 1.93, 1 Mn 2.09
F5 0.4852 0.2986 0.1865  1 Zn 1.93
F6 0.6383 0.9291 0.7092  1 Zn 1.93, 1 Mn 2.09
F7 0.7014 0.5148 0.8135  1 Zn 1.93
F8 0.7014 0.8879 0.1865  1 Zn 1.93